The following is a GGA-PBE calculation of a geometry-optimized Ba2MgTlSe5 structure, from Alexandria via LeMat-Bulk. Values from VASP.

## Properties
- Volume: 559.44 Å³/cell
- Spin magnetization: 0.73 μB per formula unit
- E_form (uncorrected): -1.162 eV per atom
- Total DFT energy (no corrections): -3.97 eV per atom

Geometry as Quantum ESPRESSO input:
```
&SYSTEM
  ibrav = 0, nat = 18, ntyp = 4
/
ATOMIC_SPECIES
Ba 137.33 Ba.upf
Mg 24.30 Mg.upf
Tl 204.38 Tl.upf
Se 78.96 Se.upf
ATOMIC_POSITIONS angstrom
Ba -10.0116 -1.8868 7.8789
Ba -8.0453 1.5348 3.5471
Ba -3.5260 0.1530 2.9183
Ba -2.4594 -4.1614 6.7375
Mg -6.6954 -2.0660 5.2269
Mg 0.0034 -1.6829 4.4134
Tl -12.1203 1.0099 2.2626
Tl -5.0259 -1.6814 9.1445
Se -11.6220 0.8380 8.7435
Se -11.3750 -0.1978 4.7301
Se -9.8916 0.7385 0.8763
Se -7.5433 0.1863 6.6134
Se -7.1372 -3.3284 8.9560
Se -6.5041 -1.2210 2.8293
Se -4.5450 -0.8347 6.4698
Se -2.6943 -2.7524 9.7601
Se -2.2786 -3.0138 3.5558
Se -0.8109 -0.0507 0.8966
CELL_PARAMETERS angstrom
-1.3949 -3.8879 -1.4815
1.1749 -1.7662 10.0279
-12.0577 3.5494 2.0379
```

The following is a GGA-PBE calculation of a geometry-optimized Ba2SbRh structure, from Alexandria via LeMat-Bulk. Values from VASP.

## Properties
- Volume: 134.37 Å³/cell
- Spin magnetization: 0.00 μB per formula unit
- E_form (uncorrected): -0.494 eV per atom
- Total DFT energy (no corrections): -4.32 eV per atom

Geometry as Quantum ESPRESSO input:
```
&SYSTEM
  ibrav = 0, nat = 4, ntyp = 3
/
ATOMIC_SPECIES
Ba 137.33 Ba.upf
Sb 121.76 Sb.upf
Rh 102.91 Rh.upf
ATOMIC_POSITIONS angstrom
Ba 0.0540 0.2898 0.0189
Ba 3.0554 2.1594 0.4977
Sb 0.3200 3.2715 2.4984
Rh 0.8547 4.5850 0.2984
CELL_PARAMETERS angstrom
3.8823 5.0404 -1.6003
-1.8512 5.8548 2.3094
1.2375 -6.0371 2.2497
```